Below is a PBEsol-optimized structure of P2AuICl, with properties calculated at the meta-GGA SCAN level.

## Properties
* DFT total energy: -26.19 eV per atom
* crystal system: tetragonal
* calculated volume: 113.3 Å³ per cell

Cell and atoms, written as CIF:
```
data_P2AuICl
_cell_length_a 4.835
_cell_length_b 4.835
_cell_length_c 4.848
_cell_angle_alpha 90.00
_cell_angle_beta 90.00
_cell_angle_gamma 90.00
_space_group_name_H-M_alt 'P 4/m m m'
_space_group_IT_number 123
_space_group_name_Hall '-P 4 2'
loop_
_atom_site_label
_atom_site_fract_x
_atom_site_fract_y
_atom_site_fract_z
P1 0.000 0.500 0.000
Au1 0.000 0.000 0.000
I1 0.500 0.500 0.500
Cl1 0.000 0.000 0.500
```